Material: Sm4MgCo
Method: DFT, PBE
State: relaxed

Lattice parameters (Å, degrees): 5.993 7.243 9.184 113.23 109.03 90.00
Fractional positions:
Sm  0.182  0.682  0.365
Sm  0.384  0.136  0.768
Sm  0.000  0.227  0.000
Sm  0.616  0.368  0.232
Sm  0.818  0.318  0.635
Sm  0.616  0.864  0.232
Sm  0.000  0.773  0.000
Sm  0.384  0.632  0.768
Mg  0.805  0.805  0.610
Mg  0.195  0.195  0.390
Co  0.290  0.500  0.000
Co  0.710  0.500  0.000

Calculated values
As for the magnetization: 0.00 μB per formula unit. For the total energy, the calculation gives -55.6 eV/cell. For the density, the calculation gives 6.6 Mg/m³. As for the formation energy: -0.04 eV per atom. The calculation puts the distance to the lowest polymorph of the same formula at 0.081 eV per atom.


Material: Zr2V2Pd
Method: DFT, PBE
State: relaxed

Lattice parameters (Å, degrees): 6.654 6.654 4.067 90.00 90.00 90.00
Fractional positions:
Pd  0.000  0.000  0.000
Pd  0.500  0.500  0.000
Zr  0.175  0.675  0.500
Zr  0.675  0.825  0.500
Zr  0.825  0.325  0.500
Zr  0.325  0.175  0.500
V  0.376  0.876  0.000
V  0.876  0.624  0.000
V  0.624  0.124  0.000
V  0.124  0.376  0.000

Calculated values
As for the magnetization: 0.00 μB per formula unit. For the total energy, the calculation gives -81.1 eV/cell. For the density, the calculation gives 7.2 Mg/m³. As for the formation energy: -0.01 eV per atom.


Material: Cd2TcTe
Method: DFT, PBE
State: relaxed

Lattice parameters (Å, degrees): 3.201 3.201 8.884 90.00 90.00 90.00
Fractional positions:
Cd  0.000  0.000  0.032
Cd  0.500  0.500  0.291
Tc  0.000  0.000  0.506
Te  0.500  0.500  0.671

Calculated values
As for the magnetization: 0.00 μB per formula unit. For the total energy, the calculation gives -14.9 eV/cell. For the density, the calculation gives 8.2 Mg/m³. Its formation energy (no corrections) is 0.120 eV per atom.


Q: Number 3 is which compound?
A: Cd2TcTe


Q: Which formula does entry 2 have?
A: Zr2V2Pd


Repeat the second record exactly.
Material: Zr2V2Pd
Method: DFT, PBE
State: relaxed

Lattice parameters (Å, degrees): 6.654 6.654 4.067 90.00 90.00 90.00
Fractional positions:
Pd  0.000  0.000  0.000
Pd  0.500  0.500  0.000
Zr  0.175  0.675  0.500
Zr  0.675  0.825  0.500
Zr  0.825  0.325  0.500
Zr  0.325  0.175  0.500
V  0.376  0.876  0.000
V  0.876  0.624  0.000
V  0.624  0.124  0.000
V  0.124  0.376  0.000

Calculated values
As for the magnetization: 0.00 μB per formula unit. For the total energy, the calculation gives -81.1 eV/cell. For the density, the calculation gives 7.2 Mg/m³. As for the formation energy: -0.01 eV per atom.